## Sr6HoScB6O18 (GGA-PBE)

Data for a geometry-optimized Sr6HoScB6O18 structure. Values from VASP.

* size of the total moment: 0.0 Bohr magnetons per cell
* space group: R-3, No. 148
* total energy: -7.644 eV per atom

```
&SYSTEM
  ibrav = 0, nat = 32, ntyp = 5
/
ATOMIC_SPECIES
Sr 87.62 Sr.upf
O 16.00 O.upf
B 10.81 B.upf
Sc 44.96 Sc.upf
Ho 164.93 Ho.upf
CELL_PARAMETERS angstrom
6.096 -3.520 -3.083
-6.096 -3.520 -3.083
0.000 7.039 -3.083
ATOMIC_POSITIONS angstrom
Sr 0.631 3.073 -3.306
Sr -2.346 2.083 -5.943
Sr 2.977 0.990 -5.943
Sr -2.977 -0.990 -3.306
Sr 2.346 -2.083 -3.306
Sr -0.631 -3.073 -5.943
O -4.332 3.125 -4.814
O 1.319 -1.215 -5.698
O 1.711 0.535 -3.550
O -1.711 -0.535 -5.698
O -1.590 4.261 -4.830
O -4.485 0.753 -4.418
O 1.590 -4.261 -4.418
O -0.393 -1.749 -3.550
O 2.895 3.508 -4.418
O 0.540 5.314 -4.435
O 4.332 -3.125 -4.435
O -2.895 -3.508 -4.830
O 4.872 2.189 -4.814
O -0.540 -5.314 -4.814
O -4.872 -2.189 -4.435
O -1.319 1.215 -3.550
O 0.393 1.749 -5.698
O 4.485 -0.753 -4.830
B -1.548 1.478 -2.201
B -0.506 -2.080 -2.201
B 0.506 2.080 -7.047
B 1.548 -1.478 -7.047
B 2.055 0.602 -2.201
B -2.055 -0.602 -7.047
Sc 0.000 0.000 -4.624
Ho 0.000 0.000 0.000
```